A relaxed MnGaIrO6 crystal, computed with GGA+U.

Properties
Total energy = -118.38 eV/cell

Cell and atoms, written as CIF:
```
data_MnGaIrO6
_chemical_formula_sum 'Mn2 Ga2 Ir2 O12'
_cell_length_a 5.0853
_cell_length_b 5.0853
_cell_length_c 8.7942
_cell_angle_alpha 90.00
_cell_angle_beta 90.00
_cell_angle_gamma 120.00
_symmetry_space_group_name_H-M 'P 1'
_symmetry_Int_Tables_number 1
loop_
_symmetry_equiv_pos_as_xyz
'x,y,z'
loop_
_atom_site_label
_atom_site_type_symbol
_atom_site_fract_x
_atom_site_fract_y
_atom_site_fract_z
O1 O 0.0072 0.6546 0.8705
O2 O 0.3454 0.3526 0.8705
O3 O 0.3454 0.9928 0.6295
O4 O 0.0072 0.3526 0.6295
O5 O 0.6474 0.6546 0.6295
O6 O 0.9928 0.3454 0.1295
O7 O 0.3526 0.0072 0.1295
O8 O 0.6474 0.9928 0.8705
O9 O 0.9928 0.6474 0.3705
O10 O 0.3526 0.3454 0.3705
O11 O 0.6546 0.6474 0.1295
O12 O 0.6546 0.0072 0.3705
Mn1 Mn 0.0000 0.0000 0.0000
Mn2 Mn 0.0000 0.0000 0.5000
Ir1 Ir 0.3333 0.6667 0.7500
Ir2 Ir 0.6667 0.3333 0.2500
Ga1 Ga 0.3333 0.6667 0.2500
Ga2 Ga 0.6667 0.3333 0.7500
```